A relaxed structure of UTa. Source: the Open Quantum Materials Database, functional PBE.

Cell lengths 4.2423, 4.2423, 4.2423 Å; angles 60.00, 60.00, 60.00 degrees
Atoms (fractional coordinates):
Ta (0.0000, 0.0000, 0.0000)
U (0.2500, 0.2500, 0.2500)

Electronic total energy: -9.35 eV/atom
Spin magnetization: 0.02 μB/f.u.
ΔE to the lowest computed polymorph: 1848 meV per atom

=====

A relaxed structure of UTa. Source: the Open Quantum Materials Database, functional PBE.

Cell lengths 2.9744, 2.9743, 5.2975 Å; angles 90.00, 90.00, 120.00 degrees
Atoms (fractional coordinates):
U (0.3333, 0.6667, 0.2500)
Ta (0.6667, 0.3333, 0.7500)

Electronic total energy: -11.19 eV/atom
Spin magnetization: 0.69 μB/f.u.
ΔE to the lowest computed polymorph: 0 meV per atom

=====

A relaxed structure of UTaZn. Source: the Open Quantum Materials Database, functional PBE.

Cell lengths 4.5019, 4.5019, 4.5019 Å; angles 60.00, 60.00, 60.00 degrees
Atoms (fractional coordinates):
Ta (0.7500, 0.7500, 0.7500)
Zn (0.0000, 0.0000, 0.0000)
U (0.2500, 0.2500, 0.2500)

Electronic total energy: -7.24 eV/atom
Spin magnetization: 1.71 μB/f.u.
ΔE to the lowest computed polymorph: 0 meV per atom

=====

A relaxed structure of UTaZn. Source: the Open Quantum Materials Database, functional PBE.

Cell lengths 4.5684, 4.5684, 4.5684 Å; angles 60.00, 60.00, 60.00 degrees
Atoms (fractional coordinates):
Ta (0.2500, 0.2500, 0.2500)
U (0.0000, 0.0000, 0.0000)
Zn (0.7500, 0.7500, 0.7500)

Electronic total energy: -6.81 eV/atom
Spin magnetization: 0.07 μB/f.u.
ΔE to the lowest computed polymorph: 436 meV per atom

=====

A relaxed structure of ZrUTa. Source: the Open Quantum Materials Database, functional PBE.

Cell lengths 4.6625, 4.6625, 4.6625 Å; angles 60.00, 60.00, 60.00 degrees
Atoms (fractional coordinates):
Ta (0.2500, 0.2500, 0.2500)
Zr (0.7500, 0.7500, 0.7500)
U (0.0000, 0.0000, 0.0000)

Electronic total energy: -9.29 eV/atom
Spin magnetization: 2.21 μB/f.u.

=====

A relaxed structure of Ta4W9. Source: the Open Quantum Materials Database, functional PBE.

Cell lengths 9.9527, 9.9527, 9.9527 Å; angles 30.51, 30.51, 30.51 degrees
Atoms (fractional coordinates):
W (0.0907, 0.0907, 0.5865)
Ta (0.3510, 0.3510, 0.3510)
W (0.4135, 0.9093, 0.9093)
W (0.5451, 0.5451, 0.5451)
W (0.5865, 0.0907, 0.0907)
W (0.9093, 0.4135, 0.9093)
Ta (0.6490, 0.6490, 0.6490)
W (0.9093, 0.9093, 0.4135)
Ta (0.1676, 0.1676, 0.1676)
W (0.0907, 0.5865, 0.0907)
W (0.4549, 0.4549, 0.4549)
Ta (0.8324, 0.8324, 0.8324)
W (0.0000, 0.0000, 0.0000)

Electronic total energy: -12.56 eV/atom
Spin magnetization: 0.01 μB/f.u.
ΔE to the lowest computed polymorph: 0 meV per atom

=====

A relaxed structure of Ta16W13. Source: the Open Quantum Materials Database, functional PBE.

Cell lengths 8.7253, 8.7253, 8.7253 Å; angles 109.47, 109.47, 109.47 degrees
Atoms (fractional coordinates):
Ta (0.1869, 0.8068, 0.8068)
Ta (0.8068, 0.8068, 0.1869)
W (0.0000, 0.6797, 0.4005)
Ta (0.6199, 0.6199, 0.8131)
W (0.3203, 0.3203, 0.7208)
W (0.0000, 0.4005, 0.6797)
Ta (0.6199, 0.8131, 0.6199)
W (0.4005, 0.0000, 0.6797)
Ta (0.3801, 0.1932, 0.0000)
Ta (0.1932, 0.3801, 0.0000)
W (0.6797, 0.4005, 0.0000)
Ta (0.1932, 0.0000, 0.3801)
W (0.7208, 0.3203, 0.3203)
W (0.6797, 0.0000, 0.4005)
W (0.3203, 0.7208, 0.3203)
W (0.5995, 0.2792, 0.5995)
Ta (0.8131, 0.6199, 0.6199)
W (0.0000, 0.0000, 0.0000)
W (0.4005, 0.6797, 0.0000)
Ta (0.0000, 0.1932, 0.3801)
Ta (0.3801, 0.0000, 0.1932)
Ta (0.0000, 0.3801, 0.1932)
Ta (0.0000, 0.6247, 0.0000)
Ta (0.8068, 0.1869, 0.8068)
Ta (0.6247, 0.0000, 0.0000)
Ta (0.3753, 0.3753, 0.3753)
Ta (0.0000, 0.0000, 0.6247)
W (0.2792, 0.5995, 0.5995)
W (0.5995, 0.5995, 0.2792)

Electronic total energy: -12.13 eV/atom
Spin magnetization: 0.02 μB/f.u.
ΔE to the lowest computed polymorph: 114 meV per atom

=====

A relaxed structure of TaW12. Source: the Open Quantum Materials Database, functional PBE.

Cell lengths 9.8208, 9.8208, 9.8208 Å; angles 30.72, 30.72, 30.72 degrees
Atoms (fractional coordinates):
W (0.6509, 0.6509, 0.6509)
W (0.4153, 0.9109, 0.9109)
W (0.9109, 0.9109, 0.4153)
W (0.8321, 0.8321, 0.8321)
W (0.4543, 0.4543, 0.4543)
W (0.5457, 0.5457, 0.5457)
W (0.1679, 0.1679, 0.1679)
W (0.0891, 0.0891, 0.5847)
W (0.9109, 0.4153, 0.9109)
W (0.0891, 0.5847, 0.0891)
W (0.5847, 0.0891, 0.0891)
W (0.3491, 0.3491, 0.3491)
Ta (0.0000, 0.0000, 0.0000)

Electronic total energy: -12.52 eV/atom
Spin magnetization: 0.00 μB/f.u.

=====

A relaxed structure of TaW5. Source: the Open Quantum Materials Database, functional PBE.

Cell lengths 5.2637, 5.2637, 17.1999 Å; angles 90.00, 90.00, 120.00 degrees
Atoms (fractional coordinates):
W (0.6667, 0.3333, 0.3521)
W (0.3333, 0.6667, 0.6479)
W (0.1631, 0.8369, 0.2500)
Ta (0.0000, 0.0000, 0.5999)
W (0.0000, 0.5000, 0.0000)
W (0.8369, 0.6738, 0.7500)
W (0.8369, 0.1631, 0.7500)
W (0.1631, 0.3262, 0.2500)
W (0.5000, 0.0000, 0.0000)
W (0.3333, 0.6667, 0.3748)
W (0.3262, 0.1631, 0.7500)
Ta (0.0000, 0.0000, 0.0999)
Ta (0.0000, 0.0000, 0.9001)
W (0.3333, 0.6667, 0.1252)
W (0.3333, 0.6667, 0.8521)
W (0.5000, 0.5000, 0.5000)
Ta (0.0000, 0.0000, 0.4001)
W (0.6738, 0.8369, 0.2500)
W (0.6667, 0.3333, 0.8748)
W (0.0000, 0.5000, 0.5000)
W (0.6667, 0.3333, 0.1479)
W (0.6667, 0.3333, 0.6252)
W (0.5000, 0.0000, 0.5000)
W (0.5000, 0.5000, 0.0000)

Electronic total energy: -12.50 eV/atom
Spin magnetization: 0.00 μB/f.u.
ΔE to the lowest computed polymorph: 0 meV per atom

=====

A relaxed structure of Ta5W. Source: the Open Quantum Materials Database, functional PBE.

Cell lengths 5.3885, 5.3885, 8.7633 Å; angles 90.00, 90.00, 119.24 degrees
Atoms (fractional coordinates):
Ta (0.8329, 0.1671, 0.5607)
Ta (0.1671, 0.8329, 0.0607)
Ta (0.1580, 0.3302, 0.2500)
Ta (0.8420, 0.6698, 0.7500)
W (0.3320, 0.6680, 0.7500)
Ta (0.8329, 0.1671, 0.9393)
Ta (0.1671, 0.8329, 0.4393)
Ta (0.5000, 0.5000, 0.0000)
W (0.6680, 0.3320, 0.2500)
Ta (0.6698, 0.8420, 0.2500)
Ta (0.3302, 0.1580, 0.7500)
Ta (0.5000, 0.5000, 0.5000)

Electronic total energy: -11.97 eV/atom
Spin magnetization: 0.03 μB/f.u.
ΔE to the lowest computed polymorph: 19 meV per atom

=====

A relaxed structure of Ta6W7. Source: the Open Quantum Materials Database, functional PBE.

Cell lengths 9.7438, 9.7438, 9.7438 Å; angles 31.87, 31.87, 31.87 degrees
Atoms (fractional coordinates):
W (0.5460, 0.5460, 0.5460)
Ta (0.0909, 0.0909, 0.5855)
Ta (0.9091, 0.4145, 0.9091)
W (0.3517, 0.3517, 0.3517)
Ta (0.5855, 0.0909, 0.0909)
W (0.0000, 0.0000, 0.0000)
Ta (0.9091, 0.9091, 0.4145)
Ta (0.4145, 0.9091, 0.9091)
W (0.6483, 0.6483, 0.6483)
W (0.4540, 0.4540, 0.4540)
Ta (0.0909, 0.5855, 0.0909)
W (0.1678, 0.1678, 0.1678)
W (0.8322, 0.8322, 0.8322)

Electronic total energy: -12.07 eV/atom
Spin magnetization: 0.01 μB/f.u.
ΔE to the lowest computed polymorph: 359 meV per atom

=====

A relaxed structure of Ta3W10. Source: the Open Quantum Materials Database, functional PBE.

Cell lengths 9.8790, 9.8790, 9.8790 Å; angles 30.74, 30.74, 30.74 degrees
Atoms (fractional coordinates):
W (0.6503, 0.6503, 0.6503)
W (0.3497, 0.3497, 0.3497)
W (0.0903, 0.0903, 0.5848)
W (0.5848, 0.0903, 0.0903)
Ta (0.5469, 0.5469, 0.5469)
W (0.4152, 0.9097, 0.9097)
W (0.0903, 0.5848, 0.0903)
Ta (0.0000, 0.0000, 0.0000)
W (0.9097, 0.4152, 0.9097)
W (0.8320, 0.8320, 0.8320)
W (0.1680, 0.1680, 0.1680)
Ta (0.4531, 0.4531, 0.4531)
W (0.9097, 0.9097, 0.4152)

Electronic total energy: -12.40 eV/atom
Spin magnetization: 0.00 μB/f.u.
ΔE to the lowest computed polymorph: 111 meV per atom

=====

no.,volume (Å³/f.u.)
1,54
2,41
3,65
4,67
5,72
6,225
7,511
8,219
9,103
10,111
11,229
12,223